{"formula": "LaAlAg2", "functional": "PBE", "state": "optimized geometry", "lattice": [[3.4637, 0.0000, 0.0000], [0.0000, 3.4637, 0.0000], [0.0000, 0.0000, 7.3307]], "species": ["La", "Al", "Ag", "Ag"], "frac_coords": [[0.0000, 0.0000, 0.0000], [0.5000, 0.5000, 0.6990], [0.0000, 0.0000, 0.5255], [0.5000, 0.5000, 0.3053]], "e_form_ev_per_fu": -0.65, "volume_a3_per_atom": 21.99, "dos_ef_per_ev_cell": 2.8, "space_group": "No. 99"}